Y2CrReCl, optimized geometry, DFT PBE-GGA; uncorrected formation energy = 0.274 eV per atom; total magnetization = 0.62 μB/atom; raw total energy = -7.096 eV per atom
1.0
-0.8338 5.4144 -0.8574
-2.3673 -0.9619 -3.7724
-4.6638 -0.2449 2.9891
Cl Y Re Cr
1 2 1 1
Direct
0.5000 0.5000 0.5000 Cl
0.5000 0.0000 0.0000 Y
0.0000 0.0000 0.5000 Y
0.0000 0.0000 0.0000 Re
0.0000 0.5000 0.0000 Cr